No. 1
Computed, not measured: crystalline AlCo2Os at its relaxed geometry at the PBE level of DFT.

Properties
Energy: -29.337 eV for the cell shown
Formation energy from the elements: -0.038 eV per atom
Density of states at the Fermi level: 1.646 states/eV/atom
Total magnetic moment: 0.53 Bohr magnetons per cell

a = 3.690 Å, b = 3.690 Å, c = 3.588 Å
α = 90.00°, β = 90.00°, γ = 90.00°
Space group P4/mmm (No. 123)
Symmetry-distinct sites (fractional):
Al: 0.000 0.000 0.000 x1
Co: 0.000 0.500 0.500 x2
Os: 0.500 0.500 0.000 x1

No. 2
Computed, not measured: crystalline Al3Co2Os at its relaxed geometry at the PBE level of DFT.

Properties
Energy: -39.768 eV for the cell shown
Formation energy from the elements: -0.516 eV per atom
Density of states at the Fermi level: 0.551 states/eV/atom
Total magnetic moment: 0.00 Bohr magnetons per cell

a = 2.933 Å, b = 2.933 Å, c = 8.684 Å
α = 90.00°, β = 90.00°, γ = 90.00°
Space group P4/mmm (No. 123)
Symmetry-distinct sites (fractional):
Al: 0.000 0.000 0.000 x1
Al: 0.000 0.000 0.325 x2
Co: 0.500 0.500 0.159 x2
Os: 0.500 0.500 0.500 x1

No. 3
Computed, not measured: crystalline Al2CoOs at its relaxed geometry at the PBE level of DFT.

Properties
Energy: -26.213 eV for the cell shown
Formation energy from the elements: -0.098 eV per atom
Density of states at the Fermi level: 0.935 states/eV/atom
Total magnetic moment: 0.66 Bohr magnetons per cell
ΔE to the lowest computed polymorph: 0.406 eV per atom

a = 2.722 Å, b = 2.722 Å, c = 7.470 Å
α = 90.00°, β = 90.00°, γ = 90.00°
Space group P4mm (No. 99)
Symmetry-distinct sites (fractional):
Al: 0.000 0.000 0.000 x1
Al: 0.500 0.500 0.303 x1
Co: 0.000 0.000 0.527 x1
Os: 0.500 0.500 0.748 x1

No. 4
Computed, not measured: crystalline AlCo2Os at its relaxed geometry at the PBE level of DFT.

Properties
Energy: -29.565 eV for the cell shown
Formation energy from the elements: -0.095 eV per atom
Density of states at the Fermi level: 0.596 states/eV/atom
Total magnetic moment: 3.62 Bohr magnetons per cell

a = 4.111 Å, b = 4.111 Å, c = 2.962 Å
α = 90.00°, β = 90.00°, γ = 90.00°
Space group P4/mmm (No. 123)
Symmetry-distinct sites (fractional):
Al: 0.000 0.000 0.000 x1
Co: 0.000 0.500 0.500 x2
Os: 0.500 0.500 0.000 x1

Question: Number 1 is which compound?
Answer: AlCo2Os

Question: Which value of energy does entry 2 give?
Answer: -39.768 eV for the cell shown

Question: The highest energy belongs to which entry?
Answer: Al2CoOs